{
  "formula": "TbNdAg6",
  "functional": "PBE-GGA",
  "state": "optimized geometry",
  "space_group": "Pmm2",
  "formation_enthalpy_0k_ev_per_atom": -0.246,
  "lattice_angstrom": [[-3.902, -0.327, 3.219], [-0.385, -6.186, -1.095], [3.319, -0.903, 3.931]],
  "species": ["Ag", "Ag", "Ag", "Ag", "Ag", "Ag", "Nd", "Tb"],
  "fractional_positions": [[0.500, 0.000, 0.193], [0.000, 0.264, 0.338], [0.000, 0.736, 0.338], [0.500, 0.251, 0.659], [0.500, 0.749, 0.659], [0.000, 0.500, 0.818], [0.000, 0.000, 0.842], [0.500, 0.500, 0.154]]
}

=====

{
  "formula": "Cs2Dy2Te3Se",
  "functional": "PBE-GGA",
  "state": "optimized geometry",
  "total_energy_ev_per_atom": -4.440,
  "space_group": "P3m1",
  "lattice_angstrom": [[-3.687, -2.273, -1.095], [2.623, -1.459, 3.309], [-9.269, 9.480, 11.526]],
  "species": ["Cs", "Cs", "Dy", "Dy", "Se", "Te", "Te", "Te"],
  "fractional_positions": [[0.667, 0.333, 0.241], [0.333, 0.667, 0.754], [0.000, 0.000, 0.010], [0.000, 0.000, 0.497], [0.333, 0.667, 0.093], [0.333, 0.667, 0.399], [0.667, 0.333, 0.596], [0.667, 0.333, 0.911]]
}

=====

{
  "formula": "NbAgCl3",
  "functional": "PBE-GGA",
  "state": "optimized geometry",
  "space_group": "Pm-3m",
  "relative_energy_mev_per_atom": 944.1,
  "lattice_angstrom": [[5.018, 0.000, 0.000], [0.000, 5.018, 0.000], [0.000, 0.000, 5.018]],
  "species": ["Ag", "Cl", "Cl", "Cl", "Nb"],
  "fractional_positions": [[0.000, 0.000, 0.000], [0.500, 0.000, 0.000], [0.000, 0.500, 0.000], [0.000, 0.000, 0.500], [0.500, 0.500, 0.500]]
}

=====

{
  "formula": "GdTmGa2Ir4",
  "functional": "PBE-GGA",
  "state": "optimized geometry",
  "space_group": "P4/mmm",
  "relative_energy_mev_per_atom": 15.1,
  "lattice_angstrom": [[4.574, 0.000, 0.000], [0.000, 4.574, 0.000], [0.000, 0.000, 6.499]],
  "species": ["Ga", "Ga", "Gd", "Ir", "Ir", "Ir", "Ir", "Tm"],
  "fractional_positions": [[0.500, 0.500, 0.000], [0.000, 0.000, 0.500], [0.000, 0.000, 0.000], [0.500, 0.000, 0.255], [0.000, 0.500, 0.255], [0.500, 0.000, 0.745], [0.000, 0.500, 0.745], [0.500, 0.500, 0.500]]
}

=====

{
  "formula": "Hf2Ga2Ir",
  "functional": "PBE-GGA",
  "state": "optimized geometry",
  "space_group": "I4/mmm",
  "relative_energy_mev_per_atom": 632.2,
  "lattice_angstrom": [[3.242, -2.153, 6.182], [-1.367, -4.252, 5.780], [0.073, 1.217, -7.202]],
  "species": ["Ga", "Ga", "Hf", "Hf", "Ir"],
  "fractional_positions": [[0.750, 0.250, 0.500], [0.250, 0.750, 0.500], [0.403, 0.403, 0.000], [0.597, 0.597, 0.000], [0.000, 0.000, 0.000]]
}

=====

{
  "formula": "LiAlInAu",
  "functional": "PBE-GGA",
  "state": "optimized geometry",
  "space_group": "F-43m",
  "relative_energy_mev_per_atom": 15.6,
  "lattice_angstrom": [[-1.905, -3.405, -2.538], [-4.477, -1.123, 0.599], [-3.117, 1.024, -3.301]],
  "species": ["Al", "Au", "In", "Li"],
  "fractional_positions": [[0.500, 0.500, 0.500], [0.750, 0.750, 0.750], [0.000, 0.000, 0.000], [0.250, 0.250, 0.250]]
}

=====

{
  "formula": "As2OsO",
  "functional": "PBE-GGA",
  "state": "optimized geometry",
  "total_energy_ev_per_atom": -6.195,
  "space_group": "Pmc2_1",
  "lattice_angstrom": [[4.129, 0.000, 0.000], [0.000, 4.700, 0.000], [0.000, 0.000, 6.923]],
  "species": ["As", "As", "As", "As", "O", "O", "Os", "Os"],
  "fractional_positions": [[0.000, 0.346, 0.033], [0.500, 0.833, 0.317], [0.000, 0.654, 0.533], [0.500, 0.167, 0.817], [0.000, 0.293, 0.412], [0.000, 0.707, 0.912], [0.500, 0.306, 0.491], [0.500, 0.694, 0.991]]
}